Record 1
First-principles (GGA-PBE) data for KPaBiS4 after structural relaxation, as listed in Alexandria.

Values from the calculation:
The value obtained for the density of states at the Fermi level is 0.67 states/eV/atom. As for the uncorrected formation energy: -108.1 kJ per mole of atoms.

Cell lengths 8.175, 8.175, 8.175 Å; angles 117.96, 108.31, 102.53 degrees
Atoms (fractional coordinates):
K  0.431  0.181  0.250
K  0.569  0.819  0.750
Pa  0.000  0.000  0.500
Pa  0.000  0.500  0.000
Bi  0.000  0.500  0.500
Bi  0.500  0.500  0.000
S  0.161  0.230  0.931
S  0.202  0.770  0.431
S  0.256  0.303  0.546
S  0.256  0.710  0.954
S  0.744  0.290  0.046
S  0.744  0.697  0.454
S  0.798  0.230  0.569
S  0.839  0.770  0.069

Record 2
First-principles (GGA-PBE) data for K2PaBiS5 after structural relaxation, as listed in Alexandria.

Values from the calculation:
As for the uncorrected formation energy: -110.6 kJ per mole of atoms.

Cell lengths 8.916, 8.916, 14.999 Å; angles 90.00, 90.00, 152.54 degrees
Atoms (fractional coordinates):
K  0.085  0.915  0.500
K  0.142  0.858  0.134
K  0.858  0.142  0.634
K  0.915  0.085  0.000
Pa  0.225  0.775  0.864
Pa  0.775  0.225  0.364
Bi  0.467  0.533  0.276
Bi  0.533  0.467  0.776
S  0.075  0.925  0.893
S  0.266  0.734  0.475
S  0.304  0.696  0.251
S  0.368  0.632  0.828
S  0.496  0.504  0.615
S  0.504  0.496  0.115
S  0.632  0.368  0.328
S  0.696  0.304  0.751
S  0.734  0.266  0.975
S  0.925  0.075  0.393

Record 3
First-principles (GGA-PBE) data for K2PaBi2S6 after structural relaxation, as listed in Alexandria.

Values from the calculation:
The value obtained for the density of states at the Fermi level is 0.37 states/eV/atom. As for the uncorrected formation energy: -99.9 kJ per mole of atoms.

Cell lengths 7.107, 7.107, 7.946 Å; angles 98.99, 98.99, 119.46 degrees
Atoms (fractional coordinates):
K  0.171  0.829  0.000
K  0.829  0.171  0.000
Pa  0.000  0.000  0.500
Bi  0.333  0.667  0.500
Bi  0.667  0.333  0.500
S  0.066  0.391  0.700
S  0.246  0.246  0.299
S  0.391  0.066  0.700
S  0.609  0.934  0.300
S  0.754  0.754  0.701
S  0.934  0.609  0.300

Record 4
First-principles (GGA-PBE) data for K4PaBi3Se8 after structural relaxation, as listed in Alexandria.

Values from the calculation:
The value obtained for the density of states at the Fermi level is 0.60 states/eV/atom. As for the uncorrected formation energy: -89.8 kJ per mole of atoms.

Cell lengths 9.142, 9.142, 9.142 Å; angles 57.28, 57.28, 57.28 degrees
Atoms (fractional coordinates):
K  0.000  0.000  0.000
K  0.000  0.500  0.500
K  0.500  0.000  0.500
K  0.500  0.500  0.000
Pa  0.500  0.500  0.500
Bi  0.000  0.000  0.500
Bi  0.000  0.500  0.000
Bi  0.500  0.000  0.000
Se  0.236  0.236  0.236
Se  0.248  0.730  0.730
Se  0.270  0.270  0.752
Se  0.270  0.752  0.270
Se  0.730  0.248  0.730
Se  0.730  0.730  0.248
Se  0.752  0.270  0.270
Se  0.764  0.764  0.764

Copy entry 1 word for word.
First-principles (GGA-PBE) data for KPaBiS4 after structural relaxation, as listed in Alexandria.

Values from the calculation:
The value obtained for the density of states at the Fermi level is 0.67 states/eV/atom. As for the uncorrected formation energy: -108.1 kJ per mole of atoms.

Cell lengths 8.175, 8.175, 8.175 Å; angles 117.96, 108.31, 102.53 degrees
Atoms (fractional coordinates):
K  0.431  0.181  0.250
K  0.569  0.819  0.750
Pa  0.000  0.000  0.500
Pa  0.000  0.500  0.000
Bi  0.000  0.500  0.500
Bi  0.500  0.500  0.000
S  0.161  0.230  0.931
S  0.202  0.770  0.431
S  0.256  0.303  0.546
S  0.256  0.710  0.954
S  0.744  0.290  0.046
S  0.744  0.697  0.454
S  0.798  0.230  0.569
S  0.839  0.770  0.069